# 1
Entry from Alexandria via LeMat-Bulk: a relaxed Li2YTc crystal (GGA-PBE).

```
Li2YTc
1.0
-4.930 -1.231 0.672
0.107 -1.761 -2.436
1.363 -4.248 2.212
Li Tc Y
2 1 1
Cartesian
0.065 -0.256 0.007 Li
0.670 -2.749 -0.119 Li
-2.097 -2.118 0.280 Tc
-1.362 -5.122 0.168 Y
```

The value obtained for the total DFT energy (no corrections) is -19.42 eV per cell.



# 2
Entry from Alexandria via LeMat-Bulk: a relaxed Li2YTc crystal (GGA-PBE).

```
Li2YTc
1.0
-3.961 2.462 -0.786
-4.017 -2.259 -1.061
-3.534 -0.141 3.140
Li Tc Y
2 1 1
Cartesian
0.000 0.000 0.000 Li
-2.878 0.015 0.323 Li
-5.756 0.031 0.647 Tc
-8.635 0.046 0.970 Y
```

The value obtained for the total DFT energy (no corrections) is -18.93 eV per cell.



# 3
Entry from Alexandria via LeMat-Bulk: a relaxed LiYTc2 crystal (GGA-PBE).

```
LiYTc2
1.0
4.443 0.003 -0.005
3.247 3.033 -0.005
0.961 0.379 5.497
Li Tc Y
1 2 1
Cartesian
6.411 2.531 4.391 Li
7.668 3.027 0.149 Tc
2.241 0.885 0.906 Tc
4.344 1.715 2.777 Y
```

The value obtained for the total DFT energy (no corrections) is -28.12 eV per cell.



# 4
Entry from Alexandria via LeMat-Bulk: a relaxed Li2YTc crystal (GGA-PBE).

```
Li2YTc
1.0
2.787 0.000 0.000
0.000 2.787 0.000
0.000 0.000 9.525
Li Tc Y
2 1 1
Cartesian
0.000 0.000 0.350 Li
0.000 0.000 4.412 Li
1.393 1.393 2.381 Tc
1.393 1.393 7.144 Y
```

The value obtained for the total DFT energy (no corrections) is -18.45 eV per cell.



# 5
Entry from Alexandria via LeMat-Bulk: a relaxed Li2YTc crystal (GGA-PBE).

```
Li2YTc
1.0
-2.066 -0.034 -2.263
-0.347 -3.552 0.370
-5.255 1.012 4.783
Li Tc Y
2 1 1
Cartesian
-0.344 0.066 0.313 Li
-2.621 -1.521 0.341 Li
-2.437 0.469 2.218 Tc
-4.894 -1.083 2.410 Y
```

The value obtained for the total DFT energy (no corrections) is -19.45 eV per cell.



# 6
Entry from Alexandria via LeMat-Bulk: a relaxed Li2YTc crystal (GGA-PBE).

```
Li2YTc
1.0
5.977 -0.014 -0.005
3.344 4.954 0.005
-4.189 -3.360 2.625
Li Tc Y
2 1 1
Cartesian
0.242 0.128 0.000 Li
4.418 2.341 0.000 Li
1.908 2.032 1.315 Tc
3.224 -0.452 1.310 Y
```

The value obtained for the total DFT energy (no corrections) is -19.61 eV per cell.



# 7
Entry from Alexandria via LeMat-Bulk: a relaxed Li2YTc crystal (GGA-PBE).

```
Li2YTc
1.0
4.319 0.000 0.000
0.000 2.916 0.002
0.000 1.614 6.095
Li Tc Y
2 1 1
Cartesian
0.000 0.192 0.322 Li
2.160 1.182 1.533 Li
0.000 2.022 2.956 Tc
2.160 3.399 4.335 Y
```

The value obtained for the total DFT energy (no corrections) is -19.27 eV per cell.



# 8
Entry from Alexandria via LeMat-Bulk: a relaxed LiYTc2 crystal (GGA-PBE).

```
LiYTc2
1.0
-0.024 -4.318 1.634
-2.758 -1.118 3.530
-3.667 -2.715 -0.705
Y Tc Li
1 2 1
Cartesian
-3.224 -4.076 2.229 Y
-1.612 -2.038 1.115 Tc
-4.837 -6.113 3.344 Tc
0.000 0.000 0.000 Li
```

The value obtained for the total DFT energy (no corrections) is -26.41 eV per cell.



# 9
Entry from Alexandria via LeMat-Bulk: a relaxed LiYTc2 crystal (GGA-PBE).

```
LiYTc2
1.0
5.428 -0.002 0.000
2.753 4.677 0.000
-4.091 -2.338 2.695
Li Tc Y
1 2 1
Cartesian
2.714 -0.001 1.347 Li
0.000 0.000 0.000 Tc
4.091 2.338 0.000 Tc
1.377 2.339 1.347 Y
```

The value obtained for the total DFT energy (no corrections) is -27.90 eV per cell.



# 10
Entry from Alexandria via LeMat-Bulk: a relaxed LiYTc2 crystal (GGA-PBE).

```
LiYTc2
1.0
-3.234 -1.416 -2.338
1.318 -2.694 -0.191
-2.093 -2.772 4.575
Li Tc Y
1 2 1
Cartesian
-2.156 -5.093 2.233 Li
1.198 -2.692 -0.027 Tc
-1.731 -1.800 -0.351 Tc
-0.391 -2.725 2.191 Y
```

The value obtained for the total DFT energy (no corrections) is -28.25 eV per cell.



# 11
Entry from Alexandria via LeMat-Bulk: a relaxed LiYTc2 crystal (GGA-PBE).

```
LiYTc2
1.0
4.667 -0.005 0.000
0.130 4.665 0.000
-2.077 -2.661 3.223
Li Tc Y
1 2 1
Cartesian
0.141 2.085 1.611 Li
4.689 4.555 0.000 Tc
2.662 -0.005 1.611 Tc
2.424 2.355 0.000 Y
```

The value obtained for the total DFT energy (no corrections) is -28.61 eV per cell.



# 12
Entry from Alexandria via LeMat-Bulk: a relaxed Li2YTc crystal (GGA-PBE).

```
Li2YTc
1.0
3.044 -0.005 0.000
-0.982 2.881 0.000
0.000 0.000 9.289
Li Tc Y
2 1 1
Cartesian
0.000 0.000 0.190 Li
1.031 1.438 2.595 Li
0.000 0.000 4.538 Tc
1.031 1.438 6.610 Y
```

The value obtained for the total DFT energy (no corrections) is -19.36 eV per cell.